# 1
VASP calculation (PBE-GGA) on a geometry-optimized MgTa2H structure.

a b c (Å): 5.795 5.795 5.799
angles (deg): 60.03 60.03 90.00
Atoms (fractional coordinates):
1 Ta 0.376 0.625 0.250
2 H 0.500 0.500 0.000
3 Mg 0.000 0.000 0.000
4 Ta 0.375 0.626 0.750
5 H 0.250 0.750 0.500
6 Ta 0.875 0.624 0.750
7 Ta 0.374 0.125 0.250
8 Mg 0.750 0.250 0.500

Symmetry: No. 227

=====

# 2
VASP calculation (PBE-GGA) on a geometry-optimized MgTaH2 structure.

a b c (Å): 3.091 3.091 5.762
angles (deg): 74.44 74.44 60.00
Atoms (fractional coordinates):
1 Mg 0.491 0.491 0.527
2 H 0.284 0.284 0.148
3 Ta 0.672 0.672 0.984
4 H 0.053 0.053 0.842

Symmetry: No. 160

=====

# 3
VASP calculation (PBE-GGA) on a geometry-optimized MgTa2H structure.

a b c (Å): 4.439 4.439 4.439
angles (deg): 60.00 60.00 60.00
Atoms (fractional coordinates):
1 Mg 0.500 0.500 0.500
2 Ta 0.750 0.750 0.750
3 Ta 0.250 0.250 0.250
4 H 0.000 0.000 0.000

Symmetry: No. 225

=====

# 4
VASP calculation (PBE-GGA) on a geometry-optimized MgTaH2 structure.

a b c (Å): 3.882 3.882 3.882
angles (deg): 60.00 60.00 60.00
Atoms (fractional coordinates):
1 Mg 0.000 0.000 0.000
2 H 0.750 0.750 0.750
3 H 0.250 0.250 0.250
4 Ta 0.500 0.500 0.500

Symmetry: No. 225

=====

| no. | magnetization (Bohr magnetons per cell) | electronic total energy (eV for the cell shown) |
| --- | --- | --- |
| 1 | 0.00 | -53.97 |
| 2 | 0.00 | -20.12 |
| 3 | 0.00 | -24.11 |
| 4 | 0.00 | -17.17 |